PuTl2S2I2: relaxed, PBE.

The structure belongs to space group I4/mmm (No. 139); the cell edges are 5.221, 5.221 and 18.261 Å and the angles 90.00°, 90.00° and 90.00°. The inequivalent atoms are Pu at (0.000, 0.000, 0.000), Tl at (0.000, 0.000, 0.378), S at (0.000, 0.500, 0.000) and I at (0.000, 0.000, 0.169).

The value obtained for the formation energy from raw total energies is -889 meV/atom. The value obtained for the density of states at the Fermi level is 8.14 states/eV/f.u.